# 1
# OsAu2F (PBE, relaxed)
data_OsAu2F
_chemical_formula_sum 'Os1 Au2 F1'
_space_group_name_H-M_alt 'P 1'
_space_group_IT_number 1
_cell_length_a 4.496
_cell_length_b 4.496
_cell_length_c 4.496
_cell_angle_alpha 60.00
_cell_angle_beta 60.00
_cell_angle_gamma 60.00
loop_
_space_group_symop_operation_xyz
'x,y,z'
loop_
_atom_site_label
_atom_site_type_symbol
_atom_site_fract_x
_atom_site_fract_y
_atom_site_fract_z
Os1 Os 0.500 0.500 0.500
Au1 Au 0.250 0.250 0.250
Au2 Au 0.750 0.750 0.750
F1 F 0.000 0.000 0.000
# DOS at the Fermi energy   3.4 states/eV/cell
# Theoretical density   15.59 g/cm3
# VASP energy   -17.4 eV/f.u.
# ΔE_f (raw)   0.565 eV/atom
# SG   Fm-3m, No. 225


# 2
# PRhCCl2 (PBE, relaxed)
data_PRhCCl2
_chemical_formula_sum 'P1 Rh1 C1 Cl2'
_space_group_name_H-M_alt 'P 1'
_space_group_IT_number 1
_cell_length_a 4.910
_cell_length_b 4.910
_cell_length_c 4.461
_cell_angle_alpha 90.00
_cell_angle_beta 90.00
_cell_angle_gamma 90.00
loop_
_space_group_symop_operation_xyz
'x,y,z'
loop_
_atom_site_label
_atom_site_type_symbol
_atom_site_fract_x
_atom_site_fract_y
_atom_site_fract_z
P1 P 0.000 0.000 0.500
C1 C 0.500 0.500 0.500
Rh1 Rh 0.000 0.000 0.000
Cl1 Cl 0.000 0.500 0.000
Cl2 Cl 0.500 0.000 0.000
# DOS at the Fermi energy   3.0 states/eV/cell
# Theoretical density   3.35 g/cm3
# VASP energy   -18.2 eV/f.u.
# ΔE_f (raw)   1.493 eV/atom
# SG   P4/mmm, No. 123


# 3
# Y6Cd5Cu (PBE, relaxed)
data_Y6Cd5Cu
_chemical_formula_sum 'Y6 Cd5 Cu1'
_space_group_name_H-M_alt 'P 1'
_space_group_IT_number 1
_cell_length_a 5.236
_cell_length_b 7.464
_cell_length_c 8.293
_cell_angle_alpha 90.00
_cell_angle_beta 71.60
_cell_angle_gamma 90.00
loop_
_space_group_symop_operation_xyz
'x,y,z'
loop_
_atom_site_label
_atom_site_type_symbol
_atom_site_fract_x
_atom_site_fract_y
_atom_site_fract_z
Y1 Y 0.839 0.756 0.321
Y2 Y 0.839 0.244 0.321
Y3 Y 0.500 0.237 0.000
Y4 Y 0.500 0.763 0.000
Y5 Y 0.161 0.756 0.679
Y6 Y 0.161 0.244 0.679
Cu1 Cu 0.000 0.000 0.000
Cd1 Cd 0.669 0.500 0.662
Cd2 Cd 0.328 0.000 0.344
Cd3 Cd 0.000 0.500 0.000
Cd4 Cd 0.672 0.000 0.656
Cd5 Cd 0.331 0.500 0.338
# DOS at the Fermi energy   12.1 states/eV/cell
# Theoretical density   6.26 g/cm3
# VASP energy   -51.2 eV/f.u.
# Energy of formation   -0.3159 eV per atom
# SG   Cmmm, No. 65


# 4
# Y2CrReSn (PBE, relaxed)
data_Y2CrReSn
_chemical_formula_sum 'Y2 Cr1 Re1 Sn1'
_space_group_name_H-M_alt 'P 1'
_space_group_IT_number 1
_cell_length_a 4.984
_cell_length_b 4.949
_cell_length_c 4.984
_cell_angle_alpha 90.00
_cell_angle_beta 90.00
_cell_angle_gamma 90.00
loop_
_space_group_symop_operation_xyz
'x,y,z'
loop_
_atom_site_label
_atom_site_type_symbol
_atom_site_fract_x
_atom_site_fract_y
_atom_site_fract_z
Y1 Y 0.000 0.000 0.500
Y2 Y 0.500 0.000 0.000
Re1 Re 0.500 0.500 0.500
Sn1 Sn 0.000 0.500 0.000
Cr1 Cr 0.000 0.000 0.000
# DOS at the Fermi energy   5.7 states/eV/cell
# Theoretical density   7.22 g/cm3
# VASP energy   -33.9 eV/f.u.
# Energy of formation   1.0295 eV per atom
# SG   P4/mmm, No. 123


# 5
# AcZn3Ga (PBE, relaxed)
data_AcZn3Ga
_chemical_formula_sum 'Ac1 Zn3 Ga1'
_space_group_name_H-M_alt 'P 1'
_space_group_IT_number 1
_cell_length_a 4.477
_cell_length_b 4.477
_cell_length_c 6.122
_cell_angle_alpha 111.18
_cell_angle_beta 111.18
_cell_angle_gamma 90.10
loop_
_space_group_symop_operation_xyz
'x,y,z'
loop_
_atom_site_label
_atom_site_type_symbol
_atom_site_fract_x
_atom_site_fract_y
_atom_site_fract_z
Ac1 Ac 0.397 0.397 0.795
Zn1 Zn 0.648 0.149 0.297
Zn2 Zn 0.149 0.648 0.297
Zn3 Zn 0.023 0.023 0.045
Ga1 Ga 0.779 0.779 0.559
# DOS at the Fermi energy   2.4 states/eV/cell
# Theoretical density   7.76 g/cm3
# VASP energy   -12.9 eV/f.u.
# Energy of formation   -0.3931 eV per atom
# SG   Cm, No. 8


# 6
# RbHoUSe4 (PBE, relaxed)
data_RbHoUSe4
_chemical_formula_sum 'Rb2 Ho2 U2 Se8'
_space_group_name_H-M_alt 'P 1'
_space_group_IT_number 1
_cell_length_a 8.935
_cell_length_b 8.790
_cell_length_c 8.852
_cell_angle_alpha 120.23
_cell_angle_beta 90.00
_cell_angle_gamma 120.55
loop_
_space_group_symop_operation_xyz
'x,y,z'
loop_
_atom_site_label
_atom_site_type_symbol
_atom_site_fract_x
_atom_site_fract_y
_atom_site_fract_z
Rb1 Rb 0.878 0.757 0.128
Rb2 Rb 0.122 0.243 0.872
Ho1 Ho 0.500 0.000 0.500
Ho2 Ho 0.500 0.000 0.000
U1 U 0.500 0.500 0.500
U2 U 0.000 0.500 0.500
Se1 Se 0.734 0.468 0.688
Se2 Se 0.313 0.040 0.270
Se3 Se 0.727 0.040 0.270
Se4 Se 0.734 0.468 0.279
Se5 Se 0.266 0.532 0.721
Se6 Se 0.687 0.960 0.730
Se7 Se 0.273 0.960 0.730
Se8 Se 0.266 0.532 0.312
# DOS at the Fermi energy   9.2 states/eV/cell
# Theoretical density   5.50 g/cm3
# VASP energy   -40.5 eV/f.u.
# ΔE_f (raw)   -1.393 eV/atom
# SG   Imma, No. 74


# 7
# DyErO3 (PBE, relaxed)
data_DyErO3
_chemical_formula_sum 'Dy1 Er1 O3'
_space_group_name_H-M_alt 'P 1'
_space_group_IT_number 1
_cell_length_a 3.036
_cell_length_b 5.930
_cell_length_c 5.930
_cell_angle_alpha 60.00
_cell_angle_beta 90.00
_cell_angle_gamma 90.00
loop_
_space_group_symop_operation_xyz
'x,y,z'
loop_
_atom_site_label
_atom_site_type_symbol
_atom_site_fract_x
_atom_site_fract_y
_atom_site_fract_z
Dy1 Dy 0.220 0.099 0.062
Er1 Er 0.220 0.433 0.396
O1 O 0.720 0.268 0.726
O2 O 0.720 0.267 0.230
O3 O 0.720 0.764 0.230
# DOS at the Fermi energy   0.0 states/eV/cell
# Theoretical density   6.78 g/cm3
# VASP energy   -41.1 eV/f.u.
# ΔE_f (raw)   -3.408 eV/atom
# SG   P-6m2, No. 187


# 8
# Tm3Bi2O2 (PBE, relaxed)
data_Tm3Bi2O2
_chemical_formula_sum 'Tm3 Bi2 O2'
_space_group_name_H-M_alt 'P 1'
_space_group_IT_number 1
_cell_length_a 3.825
_cell_length_b 7.468
_cell_length_c 6.368
_cell_angle_alpha 107.17
_cell_angle_beta 107.48
_cell_angle_gamma 90.00
loop_
_space_group_symop_operation_xyz
'x,y,z'
loop_
_atom_site_label
_atom_site_type_symbol
_atom_site_fract_x
_atom_site_fract_y
_atom_site_fract_z
Tm1 Tm 0.000 0.500 0.000
Tm2 Tm 0.309 0.699 0.617
Tm3 Tm 0.691 0.301 0.383
Bi1 Bi 0.617 0.844 0.234
Bi2 Bi 0.383 0.156 0.766
O1 O 0.836 0.575 0.672
O2 O 0.164 0.425 0.328
# DOS at the Fermi energy   0.4 states/eV/cell
# Theoretical density   9.63 g/cm3
# VASP energy   -45.7 eV/f.u.
# ΔE_f (raw)   -2.089 eV/atom
# SG   C2/m, No. 12